# La4PmHo3

A geometry-optimized La4PmHo3 structure (PBE, the Alexandria database).

The density of states at the Fermi level comes out at 27.6 states/eV per cell. As for the total magnetic moment: 0.00 μB/f.u. For the formation energy, the calculation gives 27 meV per atom. The symmetry is No. 59. The energy comes out at -0.349 Ry per atom.

```
La4PmHo3
1.0
5.1659 0.0000 0.0000
0.0000 10.3329 0.0000
0.0000 0.0000 10.3075
La Pm Ho
8 2 6
direct
0.2500 0.0000 0.1278
0.2500 0.2500 0.8704
0.2500 0.5000 0.1278
0.2500 0.7500 0.8725
0.7500 0.0000 0.8722
0.7500 0.2500 0.1275
0.7500 0.5000 0.8722
0.7500 0.7500 0.1296
0.2500 0.2500 0.3832
0.7500 0.7500 0.6168
0.2500 0.9999 0.6170
0.2500 0.5001 0.6170
0.2500 0.7500 0.3817
0.7500 0.0001 0.3830
0.7500 0.2500 0.6183
0.7500 0.4999 0.3830
```